# BaTbPb2

Crystalline BaTbPb2 at its relaxed geometry (GGA-PBE, the Alexandria database).

Geometry as CIF:
```
data_BaTbPb2
_chemical_formula_sum 'Ba3 Tb3 Pb6'
_cell_length_a 5.1991
_cell_length_b 5.1991
_cell_length_c 19.1530
_cell_angle_alpha 90.00
_cell_angle_beta 90.00
_cell_angle_gamma 120.00
_symmetry_space_group_name_H-M 'R -3 m'
_symmetry_Int_Tables_number 166
_symmetry_space_group_name_Hall '-R 3 2"'
loop_
_atom_site_label
_atom_site_fract_x
_atom_site_fract_y
_atom_site_fract_z
Ba1 0.0000 0.0000 0.0000
Tb1 0.0000 0.0000 0.5000
Pb1 0.0000 0.0000 0.2278
```

E_tot = -3.863 eV per atom
ΔH_f (0 K) = -0.370 eV/atom
spin magnetization = 0.00 μB/atom
Fermi-level density of states = 4.336 states/eV/f.u.